[1]
{"formula": "Ca2YBr", "functional": "SCAN", "state": "PBEsol geometry", "dft_energy_ev_per_atom": -17.338, "space_group": "Cmmm (65)", "formation_energy_uncorrected_ev_per_atom": -0.68, "relative_energy_ev_per_atom": 0.000, "vol_a3_per_atom": 31.3, "lattice_angstrom": [[2.0355, -3.0090, 0.0000], [2.0355, 3.0090, 0.0000], [0.0000, 0.0000, 10.2240]], "species": ["Ca", "Ca", "Y", "Br"], "fractional_positions": [[0.0000, 0.0000, 0.2226], [0.0000, 0.0000, 0.7774], [0.5000, 0.5000, 0.5000], [0.5000, 0.5000, 0.0000]]}

=====

[2]
{"formula": "K2ScMn", "functional": "SCAN", "state": "PBEsol geometry", "dft_energy_ev_per_atom": -11.508, "formation_enthalpy_0k_kj_per_mol_fu": 300.9, "space_group": "Cmmm (65)", "vol_a3_per_atom": 32.4, "lattice_angstrom": [[3.1248, -6.2357, 0.0000], [3.1248, 6.2357, 0.0000], [0.0000, 0.0000, 3.3234]], "species": ["K", "K", "Sc", "Mn"], "fractional_positions": [[0.0000, 0.5000, 0.0000], [0.5000, 0.0000, 0.0000], [0.0000, 0.0000, 0.5000], [0.5000, 0.5000, 0.5000]]}

=====

[3]
{"formula": "LaNiPb", "functional": "SCAN", "state": "PBEsol geometry", "dft_energy_ev_per_atom": -45.548, "formation_enthalpy_0k_kj_per_mol_fu": -153.0, "space_group": "P-6m2 (187)", "vol_a3_per_atom": 23.6, "lattice_angstrom": [[4.5944, 0.0000, 0.0000], [-2.2972, 3.9789, 0.0000], [0.0000, 0.0000, 3.8680]], "species": ["La", "Ni", "Pb"], "fractional_positions": [[0.0000, 0.0000, 0.0000], [0.3333, 0.6667, 0.5000], [0.6667, 0.3333, 0.5000]]}

=====

[4]
{"formula": "YAuCl", "functional": "SCAN", "state": "PBEsol geometry", "dft_energy_ev_per_atom": -35.828, "space_group": "F-43m (216)", "formation_energy_uncorrected_ev_per_atom": -0.84, "relative_energy_ev_per_atom": 0.467, "vol_a3_per_atom": 22.7, "lattice_angstrom": [[0.0000, 3.2393, 3.2393], [3.2393, 0.0000, 3.2393], [3.2393, 3.2393, 0.0000]], "species": ["Y", "Au", "Cl"], "fractional_positions": [[0.0000, 0.0000, 0.0000], [0.5000, 0.5000, 0.5000], [0.2500, 0.2500, 0.2500]]}

=====

[5]
{"formula": "ZrScCo2", "functional": "SCAN", "state": "PBEsol geometry", "dft_energy_ev_per_atom": -20.293, "formation_enthalpy_0k_kj_per_mol_fu": -157.2, "space_group": "P4/mmm (123)", "vol_a3_per_atom": 15.0, "lattice_angstrom": [[4.4084, 0.0000, 0.0000], [0.0000, 4.4084, 0.0000], [0.0000, 0.0000, 3.0881]], "species": ["Zr", "Sc", "Co", "Co"], "fractional_positions": [[0.0000, 0.0000, 0.0000], [0.5000, 0.5000, 0.0000], [0.0000, 0.5000, 0.5000], [0.5000, 0.0000, 0.5000]]}

=====

[6]
{"formula": "Pb2SF", "functional": "SCAN", "state": "PBEsol geometry", "dft_energy_ev_per_atom": -42.011, "space_group": "Fm-3m (225)", "formation_energy_uncorrected_ev_per_atom": -0.83, "vol_a3_per_atom": 20.8, "lattice_angstrom": [[0.0000, 3.4627, 3.4627], [3.4627, 0.0000, 3.4627], [3.4627, 3.4627, 0.0000]], "species": ["Pb", "Pb", "S", "F"], "fractional_positions": [[0.2500, 0.2500, 0.2500], [0.7500, 0.7500, 0.7500], [0.0000, 0.0000, 0.0000], [0.5000, 0.5000, 0.5000]]}

=====

[7]
{"formula": "Sr4YZr", "functional": "SCAN", "state": "PBEsol geometry", "dft_energy_ev_per_atom": -23.904, "formation_enthalpy_0k_kj_per_mol_fu": 406.8, "space_group": "F-43m (216)", "vol_a3_per_atom": 40.0, "lattice_angstrom": [[0.0000, 4.9331, 4.9331], [4.9331, 0.0000, 4.9331], [4.9331, 4.9331, 0.0000]], "species": ["Sr", "Sr", "Sr", "Sr", "Y", "Zr"], "fractional_positions": [[0.1241, 0.1241, 0.1241], [0.1241, 0.1241, 0.6278], [0.1241, 0.6278, 0.1241], [0.6278, 0.1241, 0.1241], [0.5000, 0.5000, 0.5000], [0.7500, 0.7500, 0.7500]]}

=====

[8]
{"formula": "ZrMo2Ir", "functional": "SCAN", "state": "PBEsol geometry", "dft_energy_ev_per_atom": -43.020, "formation_enthalpy_0k_kj_per_mol_fu": -49.2, "space_group": "P4mm (99)", "relative_energy_ev_per_atom": 0.136, "vol_a3_per_atom": 16.4, "lattice_angstrom": [[2.7694, 0.0000, 0.0000], [0.0000, 2.7694, 0.0000], [0.0000, 0.0000, 8.5416]], "species": ["Zr", "Mo", "Mo", "Ir"], "fractional_positions": [[0.0000, 0.0000, 0.0000], [0.0000, 0.0000, 0.4584], [0.5000, 0.5000, 0.7170], [0.5000, 0.5000, 0.2510]]}

=====

Which formula does entry 7 have?
Sr4YZr

=====

Please write out number 8 again, unchanged.
{"formula": "ZrMo2Ir", "functional": "SCAN", "state": "PBEsol geometry", "dft_energy_ev_per_atom": -43.020, "formation_enthalpy_0k_kj_per_mol_fu": -49.2, "space_group": "P4mm (99)", "relative_energy_ev_per_atom": 0.136, "vol_a3_per_atom": 16.4, "lattice_angstrom": [[2.7694, 0.0000, 0.0000], [0.0000, 2.7694, 0.0000], [0.0000, 0.0000, 8.5416]], "species": ["Zr", "Mo", "Mo", "Ir"], "fractional_positions": [[0.0000, 0.0000, 0.0000], [0.0000, 0.0000, 0.4584], [0.5000, 0.5000, 0.7170], [0.5000, 0.5000, 0.2510]]}